A geometry-optimized CrHgBrO4 structure, computed with PBE+U.

Results
SG	C2/m, No. 12
crystal system	monoclinic
magnetization	0.00	μB/f.u.
DFT total energy	-67.8	eV/cell

a b c (Å): 6.6123 6.6123 7.5070
angles (deg): 79.05 79.05 55.94
Fractional coordinates of all 14 atoms:
O 0.8995 0.4598 0.8546
Cr 0.3658 0.3658 0.2435
O 0.4598 0.8995 0.8546
Cr 0.6342 0.6342 0.7565
Br 0.0314 0.0314 0.3441
Br 0.9686 0.9686 0.6559
O 0.1005 0.5402 0.1454
O 0.5119 0.5119 0.2058
O 0.5402 0.1005 0.1454
O 0.4881 0.4881 0.7942
Hg 0.3023 0.3023 0.7860
O 0.3105 0.3105 0.4631
O 0.6895 0.6895 0.5369
Hg 0.6977 0.6977 0.2140